CsRb2SiBr6: relaxed, PBE.

a b c (Å): 8.4022 8.4022 8.4022
angles (deg): 60.00 60.00 60.00
Closest atoms and distances in Å follow each position.
Element x y z (fractional)
Cs 0.0000 0.0000 0.0000  6 Br 3.37
Rb 0.2500 0.2500 0.2500  12 Br 4.22
Rb 0.7500 0.7500 0.7500  12 Br 4.22
Si 0.5000 0.5000 0.5000  6 Br 2.57
Br 0.2836 0.2836 0.7164  1 Si 2.57
Br 0.2836 0.7164 0.2836  1 Si 2.57
Br 0.2836 0.7164 0.7164  1 Si 2.57
Br 0.7164 0.2836 0.2836  1 Si 2.57
Br 0.7164 0.2836 0.7164  1 Si 2.57
Br 0.7164 0.7164 0.2836  1 Si 2.57

## Properties
- energy (eV per atom) = -2.98
- space group = No. 225
- E_form (uncorrected) (eV per atom) = -1.15

---

CsRb2SmBr6: relaxed, PBE.

a b c (Å): 8.3124 8.8999 14.2874
angles (deg): 90.00 124.05 90.00
Closest atoms and distances in Å follow each position.
Element x y z (fractional)
Cs 0.0000 0.0000 0.0000  6 Br 3.52-3.68
Cs 0.0000 0.5000 0.5000  6 Br 3.52-3.68
Rb 0.2092 0.0762 0.7404  6 Br 3.48-3.82
Rb 0.2092 0.4238 0.2404  6 Br 3.48-3.82
Rb 0.7908 0.5762 0.7596  6 Br 3.48-3.82
Rb 0.7908 0.9238 0.2596  6 Br 3.48-3.82
Sm 0.5000 0.0000 0.5000  6 Br 2.86-2.89
Sm 0.5000 0.5000 0.0000  6 Br 2.86-2.89
Br 0.1640 0.1715 0.4411  1 Sm 2.86
Br 0.1640 0.3285 0.9411  1 Sm 2.86
Br 0.2592 0.7339 0.4130  1 Sm 2.89
Br 0.2592 0.7661 0.9130  1 Sm 2.89
Br 0.4238 0.0687 0.2816  1 Sm 2.88
Br 0.4238 0.4313 0.7816  1 Sm 2.88
Br 0.5762 0.5687 0.2184  1 Sm 2.88
Br 0.5762 0.9313 0.7184  1 Sm 2.88
Br 0.7408 0.2339 0.0870  1 Sm 2.89
Br 0.7408 0.2661 0.5870  1 Sm 2.89
Br 0.8360 0.6715 0.0589  1 Sm 2.86
Br 0.8360 0.8285 0.5589  1 Sm 2.86

## Properties
- energy (eV per atom) = -3.60
- space group = No. 14
- E_form (uncorrected) (eV per atom) = -1.84

---

CsRb2SnBr8: relaxed, PBE.

a b c (Å): 6.2551 7.5951 10.0958
angles (deg): 89.96 74.14 89.98
Closest atoms and distances in Å follow each position.
Element x y z (fractional)
Cs 0.0000 0.0000 0.0000  12 Br 3.94-4.29
Rb 0.3372 0.4996 0.3129  9 Br 3.41-3.81
Rb 0.6628 0.5004 0.6871  9 Br 3.41-3.81
Sn 0.0000 0.0000 0.5000  6 Br 2.65-2.66
Br 0.1753 0.2484 0.6226  1 Sn 2.65
Br 0.1759 0.7505 0.6215  1 Sn 2.65
Br 0.2457 0.5000 0.9955  2 Br 3.05-3.21, 1 Rb 3.41
Br 0.3428 0.0009 0.2749  1 Sn 2.66
Br 0.6572 0.9991 0.7251  1 Sn 2.66
Br 0.7543 0.5000 0.0045  2 Br 3.05-3.21, 1 Rb 3.41
Br 0.8241 0.2495 0.3785  1 Sn 2.65
Br 0.8247 0.7516 0.3774  1 Sn 2.65

## Properties
- energy (eV per atom) = -2.84
- space group = No. 2
- E_form (uncorrected) (eV per atom) = -1.16

---

CsRb2SnBr5: relaxed, PBE.

a b c (Å): 11.2199 11.2199 13.5815
angles (deg): 90.00 90.00 153.28
Closest atoms and distances in Å follow each position.
Element x y z (fractional)
Cs 0.2215 0.7785 0.5000  6 Br 3.57-3.75
Cs 0.7785 0.2215 0.0000  6 Br 3.57-3.75
Rb 0.1090 0.8910 0.1791  8 Br 3.62-3.97
Rb 0.1286 0.8714 0.7873  7 Br 3.57-3.83
Rb 0.8714 0.1286 0.2873  7 Br 3.57-3.83
Rb 0.8910 0.1090 0.6791  8 Br 3.62-3.97
Sn 0.4738 0.5262 0.9483  5 Br 2.81-3.14
Sn 0.5262 0.4738 0.4483  5 Br 2.81-3.14
Br 0.0519 0.9481 0.5431  2 Sn 2.95
Br 0.2750 0.7250 0.1950  3 Rb 3.57-3.63, 2 Cs 3.71
Br 0.3542 0.6458 0.8586  1 Sn 2.88
Br 0.3852 0.6148 0.4935  1 Sn 3.14
Br 0.4861 0.5139 0.2518  1 Sn 2.81
Br 0.5139 0.4861 0.7518  1 Sn 2.81
Br 0.6148 0.3852 0.9935  1 Sn 3.14
Br 0.6458 0.3542 0.3586  1 Sn 2.88
Br 0.7250 0.2750 0.6950  3 Rb 3.57-3.63, 2 Cs 3.71
Br 0.9481 0.0519 0.0431  2 Sn 2.95

## Properties
- energy (eV per atom) = -3.10
- space group = No. 36
- E_form (uncorrected) (eV per atom) = -1.41